Density functional theory data (PBE-GGA) for a relaxed Nd5GaHg2 crystal.

Unit cell a=9.565 b=9.565 c=9.565 alpha=131.53 beta=131.53 gamma=70.97
Positions (direct):
Nd1 0.000 0.000 0.000
Nd2 0.009 0.509 0.831
Nd3 0.178 0.009 0.500
Nd4 0.322 0.822 0.831
Nd5 0.491 0.322 0.500
Nd6 0.500 0.500 0.000
Nd7 0.509 0.678 0.500
Nd8 0.678 0.178 0.169
Nd9 0.822 0.991 0.500
Nd10 0.991 0.491 0.169
Ga1 0.250 0.250 0.000
Ga2 0.750 0.750 0.000
Hg1 0.131 0.369 0.500
Hg2 0.369 0.869 0.238
Hg3 0.631 0.131 0.762
Hg4 0.869 0.631 0.500

- Energy relative to the elements: -335.9 meV/atom
- Energy relative to the lowest polymorph listed for this composition: 33 meV/atom